Material: RbPbS2
Method: DFT, PBE-GGA
State: optimized geometry

```
data_RbPbS2
_cell_length_a 7.6422
_cell_length_b 7.6422
_cell_length_c 7.6422
_cell_angle_alpha 121.15
_cell_angle_beta 121.15
_cell_angle_gamma 88.01
_symmetry_space_group_name_H-M 'P 1'
_symmetry_Int_Tables_number 1
loop_
_symmetry_equiv_pos_as_xyz
'x,y,z'
loop_
_atom_site_label
_atom_site_type_symbol
_atom_site_fract_x
_atom_site_fract_y
_atom_site_fract_z
Rb1 Rb 0.0000 0.0000 0.0000
Rb2 Rb 0.7500 0.2500 0.5000
Pb1 Pb 0.2500 0.7500 0.5000
Pb2 Pb 0.5000 0.5000 0.0000
S1 S 0.2025 0.6250 0.0775
S2 S 0.3750 0.4525 0.5775
S3 S 0.5475 0.1250 0.9225
S4 S 0.8750 0.7975 0.4225
```

Calculated values
ρ = 3.824 Mg/m³
VASP energy = -30.7 eV per cell